10
Lattice="5.908 0.002 0.001 0.001 4.900 -0.849 0.002 0.000 5.086" Properties=species:S:1:pos:R:3 comment="Mg3HIr (PBE, optimized geometry)" density_g_cm3=6.0 total_energy_ev_per_atom=-3.678 relative_energy_mev_per_atom=43 magnetic_moment_mub_per_cell=0.000 pbc="T T T"
Mg 4.950 2.380 2.352
Mg 0.495 2.836 -0.220
Mg 1.995 0.564 0.807
Mg 3.487 2.838 -0.221
Mg 3.450 0.109 3.377
Mg 0.534 0.106 3.379
Ir 1.992 2.541 2.552
Ir 4.943 0.404 0.605
H 4.946 4.190 1.011
H 1.992 3.657 1.297



9
Lattice="0.055 4.097 2.604 -2.041 -1.698 4.054 4.642 0.014 1.365" Properties=species:S:1:pos:R:3 comment="MgH2Ir6 (PBE, optimized geometry)" density_g_cm3=18.0 total_energy_ev_per_atom=-6.775 relative_energy_mev_per_atom=69 magnetic_moment_mub_per_cell=0.000 pbc="T T T"
Ir 2.772 1.455 3.820
Ir 0.381 2.812 3.208
Ir 0.355 0.113 3.023
Ir -1.796 -0.040 4.828
Ir 2.872 2.673 6.378
Ir 0.456 1.330 5.581
Mg 2.606 0.193 1.371
H 1.538 2.784 5.096
H 1.690 0.001 4.306



8
Lattice="3.084 -0.001 0.602 -0.118 3.081 0.603 -0.004 -0.005 8.219" Properties=species:S:1:pos:R:3 comment="MgH2Ir (PBE, optimized geometry)" density_g_cm3=9.3 total_energy_ev_per_atom=-4.570 magnetic_moment_mub_per_cell=0.000 pbc="T T T"
H 2.088 1.755 7.124
H 0.054 1.244 1.141
H 0.605 0.214 6.521
H 2.499 0.577 5.018
Ir 0.399 1.601 7.577
Ir 2.812 0.902 3.420
Mg 1.522 2.766 1.830
Mg 0.920 2.141 4.911



6
Lattice="3.950 0.000 2.124 -1.014 4.883 -1.699 -0.002 0.001 4.485" Properties=species:S:1:pos:R:3 comment="Mg3HIr2 (PBE, optimized geometry)" density_g_cm3=8.8 total_energy_ev_per_atom=-4.575 relative_energy_mev_per_atom=34 magnetic_moment_mub_per_cell=0.000 pbc="T T T"
Mg 1.052 2.573 3.169
Mg 2.654 4.103 1.363
Mg 2.353 0.898 5.362
Ir -0.335 1.933 0.908
Ir 0.040 4.743 1.531
H 0.710 3.336 0.709